{
  "formula": "Li2InP2",
  "functional": "PBE",
  "state": "relaxed",
  "lattice_angstrom": [[4.2939, 0.0000, 0.0000], [0.0000, 4.2939, 0.0000], [0.0000, 0.0000, 9.9780]],
  "species": ["Li", "Li", "Li", "Li", "In", "In", "P", "P", "P", "P"],
  "frac_coords": [[0.0000, 0.5000, 0.2500], [0.0000, 0.5000, 0.7500], [0.5000, 0.0000, 0.2500], [0.5000, 0.0000, 0.7500], [0.0000, 0.0000, 0.0000], [0.5000, 0.5000, 0.5000], [0.0000, 0.0000, 0.3930], [0.0000, 0.0000, 0.6070], [0.5000, 0.5000, 0.1070], [0.5000, 0.5000, 0.8930]],
  "e_tot_ev_per_atom": -3.767,
  "dos_ef_per_ev_atom": 0.48,
  "sg": "I4/mmm (139)",
  "total_magnetization_mub_per_atom": 0.000,
  "volume_a3_per_atom": 18.397
}


{
  "formula": "Li2InP",
  "functional": "PBE",
  "state": "relaxed",
  "lattice_angstrom": [[4.0590, 0.0000, 0.0000], [0.0000, 4.0678, 0.0000], [0.0000, 0.0000, 4.0639]],
  "species": ["Li", "Li", "In", "P"],
  "frac_coords": [[0.0000, 0.0000, 0.0000], [0.5000, 0.0000, 0.4982], [0.5000, 0.5000, 0.9978], [0.0000, 0.5000, 0.4975]],
  "e_tot_ev_per_atom": -3.328,
  "dos_ef_per_ev_atom": 0.38,
  "sg": "Pmm2 (25)",
  "total_magnetization_mub_per_atom": 0.000,
  "volume_a3_per_atom": 16.775
}


{
  "formula": "LiIn3P",
  "functional": "PBE",
  "state": "relaxed",
  "lattice_angstrom": [[4.9621, 0.0000, 0.0000], [0.0000, 4.9621, 0.0000], [0.0000, 0.0000, 4.9621]],
  "species": ["Li", "In", "In", "In", "P"],
  "frac_coords": [[0.0000, 0.0000, 0.0000], [0.0000, 0.0000, 0.5000], [0.0000, 0.5000, 0.0000], [0.5000, 0.0000, 0.0000], [0.5000, 0.5000, 0.5000]],
  "e_tot_ev_per_atom": -2.669,
  "dos_ef_per_ev_atom": 0.77,
  "sg": "Pm-3m (221)",
  "total_magnetization_mub_per_atom": 0.000,
  "volume_a3_per_atom": 24.436
}


{
  "formula": "Li2InP",
  "functional": "PBE",
  "state": "relaxed",
  "lattice_angstrom": [[4.0178, 0.0000, 0.0000], [0.0000, 4.0354, 0.0000], [0.0000, 0.0000, 8.4258]],
  "species": ["Li", "Li", "Li", "Li", "In", "In", "P", "P"],
  "frac_coords": [[0.0000, 0.0000, 0.2490], [0.0000, 0.0000, 0.7510], [0.5000, 0.5000, 0.2510], [0.5000, 0.5000, 0.7490], [0.0000, 0.5000, 0.0000], [0.5000, 0.0000, 0.5000], [0.0000, 0.5000, 0.5000], [0.5000, 0.0000, 0.0000]],
  "e_tot_ev_per_atom": -3.257,
  "dos_ef_per_ev_atom": 0.36,
  "sg": "Immm (71)",
  "total_magnetization_mub_per_atom": 0.000,
  "volume_a3_per_atom": 17.076
}